[1]
A relaxed Er3InOs crystal. Source: Alexandria, functional PBE-GGA.

It has space group Fmmm (No. 69), with a = 6.502 Å, b = 9.508 Å, c = 16.234 Å, α = 90.00°, β = 90.00° and γ = 90.00°. The inequivalent atoms are Er at (0.000, 0.000, 0.201), Er at (0.000, 0.190, 0.388), In at (0.211, 0.000, 0.000) and Os at (0.250, 0.250, 0.250).

As for the formation enthalpy at 0 K: -371.4 meV per atom.



[2]
A relaxed BaLiHN2 crystal. Source: Alexandria, functional PBE-GGA.

It has space group P4/mmm (No. 123), with a = 4.040 Å, b = 4.040 Å, c = 4.136 Å, α = 90.00°, β = 90.00° and γ = 90.00°. The inequivalent atoms are Ba at (0.000, 0.000, 0.000), Li at (0.500, 0.500, 0.000), H at (0.000, 0.000, 0.500) and N at (0.000, 0.500, 0.500).

For the raw total energy, the calculation gives -3.576 eV/atom.



Calculated total magnetic moment (μB/f.u.), listed in the same order as above: 0.0, 0.0